No. 1
# AcLaThSc GGA-PBE optimized geometry
data_AcLaThSc
_chemical_formula_sum 'Ac4 La4 Th4 Sc4'
_symmetry_space_group_name_H-M 'F -4 3 m'
_symmetry_Int_Tables_number 216
_symmetry_space_group_name_Hall 'F -4 2 3'
_cell_length_a 8.206
_cell_length_b 8.206
_cell_length_c 8.206
_cell_angle_alpha 90.00
_cell_angle_beta 90.00
_cell_angle_gamma 90.00
loop_
_atom_site_label
_atom_site_type_symbol
_atom_site_fract_x
_atom_site_fract_y
_atom_site_fract_z
_atom_site_occupancy
Ac1 Ac 0.000 0.000 0.000 1
La1 La 0.250 0.250 0.750 1
Th1 Th 0.250 0.250 0.250 1
Sc1 Sc 0.000 0.000 0.500 1
# - ΔH_f (0 K) (eV/atom) = 0.2531
# - magnetic moment (μB/cell) = 0.0
# - calculated total energy (eV/cell) = -87.099

No. 2
# Ac3La2Sc2Tl4 GGA-PBE optimized geometry
data_Ac3La2Sc2Tl4
_chemical_formula_sum 'Ac3 La2 Sc2 Tl4'
_symmetry_space_group_name_H-M 'P -3 m 1'
_symmetry_Int_Tables_number 164
_symmetry_space_group_name_Hall '-P 3 2"'
_cell_length_a 5.7098
_cell_length_b 5.7098
_cell_length_c 12.7792
_cell_angle_alpha 90.00
_cell_angle_beta 90.00
_cell_angle_gamma 120.00
loop_
_atom_site_label
_atom_site_type_symbol
_atom_site_fract_x
_atom_site_fract_y
_atom_site_fract_z
_atom_site_occupancy
Ac1 Ac 0.0000 0.0000 0.0000 1
Ac2 Ac 0.0000 0.0000 0.3260 1
La1 La 0.3333 0.6667 0.1451 1
Sc1 Sc 0.3333 0.6667 0.6313 1
Tl1 Tl 0.3333 0.6667 0.4015 1
Tl2 Tl 0.3333 0.6667 0.8679 1
# - ΔH_f (0 K) (eV/atom) = -0.1494
# - magnetic moment (μB/cell) = 0.0
# - calculated total energy (eV/cell) = -45.951

No. 3
# AcLaScTl GGA-PBE optimized geometry
data_AcLaScTl
_chemical_formula_sum 'Ac4 La4 Sc4 Tl4'
_symmetry_space_group_name_H-M 'F -4 3 m'
_symmetry_Int_Tables_number 216
_symmetry_space_group_name_Hall 'F -4 2 3'
_cell_length_a 7.925
_cell_length_b 7.925
_cell_length_c 7.925
_cell_angle_alpha 90.00
_cell_angle_beta 90.00
_cell_angle_gamma 90.00
loop_
_atom_site_label
_atom_site_type_symbol
_atom_site_fract_x
_atom_site_fract_y
_atom_site_fract_z
_atom_site_occupancy
Ac1 Ac 0.000 0.000 0.000 1
La1 La 0.250 0.250 0.250 1
Sc1 Sc 0.250 0.250 0.750 1
Tl1 Tl 0.000 0.000 0.500 1
# - ΔH_f (0 K) (eV/atom) = 0.0285
# - magnetic moment (μB/cell) = 0.0
# - calculated total energy (eV/cell) = -70.478

No. 4
# AcLaTmSc GGA-PBE optimized geometry
data_AcLaTmSc
_chemical_formula_sum 'Ac4 La4 Tm4 Sc4'
_symmetry_space_group_name_H-M 'F -4 3 m'
_symmetry_Int_Tables_number 216
_symmetry_space_group_name_Hall 'F -4 2 3'
_cell_length_a 8.152
_cell_length_b 8.152
_cell_length_c 8.152
_cell_angle_alpha 90.00
_cell_angle_beta 90.00
_cell_angle_gamma 90.00
loop_
_atom_site_label
_atom_site_type_symbol
_atom_site_fract_x
_atom_site_fract_y
_atom_site_fract_z
_atom_site_occupancy
Ac1 Ac 0.000 0.000 0.000 1
La1 La 0.000 0.000 0.500 1
Tm1 Tm 0.250 0.250 0.250 1
Sc1 Sc 0.250 0.250 0.750 1
# - ΔH_f (0 K) (eV/atom) = 0.0894
# - magnetic moment (μB/cell) = 0.0
# - calculated total energy (eV/cell) = -77.926

No. 5
# AcLaSe2 GGA-PBE optimized geometry
data_AcLaSe2
_chemical_formula_sum 'Ac3 La3 Se6'
_symmetry_space_group_name_H-M 'R -3 m'
_symmetry_Int_Tables_number 166
_symmetry_space_group_name_Hall '-R 3 2"'
_cell_length_a 4.4203
_cell_length_b 4.4203
_cell_length_c 27.7807
_cell_angle_alpha 90.00
_cell_angle_beta 90.00
_cell_angle_gamma 120.00
loop_
_atom_site_label
_atom_site_type_symbol
_atom_site_fract_x
_atom_site_fract_y
_atom_site_fract_z
_atom_site_occupancy
Ac1 Ac 0.0000 0.0000 0.0000 1
La1 La 0.0000 0.0000 0.5000 1
Se1 Se 0.0000 0.0000 0.1092 1
# - raw formation energy (eV per atom) = -1.532
# - magnetic moment (μB/cell) = 0.0
# - relative energy among the computed polymorphs (meV/atom) = 381
# - calculated total energy (eV/cell) = -66.404

No. 6
# Ac2LaSe4 GGA-PBE optimized geometry
data_Ac2LaSe4
_chemical_formula_sum 'Ac8 La4 Se16'
_symmetry_space_group_name_H-M 'C m c m'
_symmetry_Int_Tables_number 63
_symmetry_space_group_name_Hall '-C 2c 2'
_cell_length_a 4.271
_cell_length_b 14.817
_cell_length_c 14.531
_cell_angle_alpha 90.00
_cell_angle_beta 90.00
_cell_angle_gamma 90.00
loop_
_atom_site_label
_atom_site_type_symbol
_atom_site_fract_x
_atom_site_fract_y
_atom_site_fract_z
_atom_site_occupancy
Ac1 Ac 0.000 0.131 0.073 1
La1 La 0.000 0.374 0.250 1
Se1 Se 0.000 0.019 0.250 1
Se2 Se 0.000 0.221 0.625 1
Se3 Se 0.000 0.500 0.000 1
# - raw formation energy (eV per atom) = -1.946
# - magnetic moment (μB/cell) = 0.0
# - relative energy among the computed polymorphs (meV/atom) = 0
# - calculated total energy (eV/cell) = -162.819

No. 7
# AcLa2Se GGA-PBE optimized geometry
data_AcLa2Se
_chemical_formula_sum 'Ac3 La6 Se3'
_symmetry_space_group_name_H-M 'R 3 m'
_symmetry_Int_Tables_number 160
_symmetry_space_group_name_Hall 'R 3 -2"'
_cell_length_a 4.0775
_cell_length_b 4.0775
_cell_length_c 29.9791
_cell_angle_alpha 90.00
_cell_angle_beta 90.00
_cell_angle_gamma 120.00
loop_
_atom_site_label
_atom_site_type_symbol
_atom_site_fract_x
_atom_site_fract_y
_atom_site_fract_z
_atom_site_occupancy
Ac1 Ac 0.0000 0.0000 0.0000 1
La1 La 0.0000 0.0000 0.2297 1
La2 La 0.0000 0.0000 0.4366 1
Se1 Se 0.0000 0.0000 0.8330 1
# - raw formation energy (eV per atom) = -0.888
# - magnetic moment (μB/cell) = 0.0
# - relative energy among the computed polymorphs (meV/atom) = 0
# - calculated total energy (eV/cell) = -63.003

No. 8
# Ac2La3Se4 GGA-PBE optimized geometry
data_Ac2La3Se4
_chemical_formula_sum 'Ac4 La6 Se8'
_symmetry_space_group_name_H-M 'C 1 2/m 1'
_symmetry_Int_Tables_number 12
_cell_length_a 22.742
_cell_length_b 4.254
_cell_length_c 6.177
_cell_angle_alpha 90.00
_cell_angle_beta 105.50
_cell_angle_gamma 90.00
loop_
_symmetry_equiv_pos_as_xyz
'x,y,z'
'-x,-y,-z'
'-x,y,-z'
'x,-y,z'
'x+1/2,y+1/2,z'
'-x+1/2,-y+1/2,-z'
'-x+1/2,y+1/2,-z'
'x+1/2,-y+1/2,z'
loop_
_atom_site_label
_atom_site_type_symbol
_atom_site_fract_x
_atom_site_fract_y
_atom_site_fract_z
_atom_site_occupancy
Ac1 Ac 0.095 0.000 0.096 1
La1 La 0.000 0.500 0.500 1
La2 La 0.199 0.500 0.699 1
Se1 Se 0.100 0.000 0.601 1
Se2 Se 0.201 0.500 0.202 1
# - raw formation energy (eV per atom) = -1.677
# - magnetic moment (μB/cell) = 0.0
# - calculated total energy (eV/cell) = -104.068

No. 9
# Ac3LaSe6 GGA-PBE optimized geometry
data_Ac3LaSe6
_chemical_formula_sum 'Ac18 La6 Se36'
_symmetry_space_group_name_H-M 'R -3'
_symmetry_Int_Tables_number 148
_symmetry_space_group_name_Hall '-R 3'
_cell_length_a 12.9692
_cell_length_b 12.9692
_cell_length_c 15.2370
_cell_angle_alpha 90.00
_cell_angle_beta 90.00
_cell_angle_gamma 120.00
loop_
_atom_site_label
_atom_site_type_symbol
_atom_site_fract_x
_atom_site_fract_y
_atom_site_fract_z
_atom_site_occupancy
Ac1 Ac 0.0473 0.2695 0.2032 1
La1 La 0.0000 0.0000 0.0000 1
La2 La 0.0000 0.0000 0.5000 1
Se1 Se 0.0241 0.2127 0.4013 1
Se2 Se 0.0314 0.1912 0.8766 1
# - raw formation energy (eV per atom) = -2.002
# - magnetic moment (μB/cell) = 0.0
# - relative energy among the computed polymorphs (meV/atom) = 0
# - calculated total energy (eV/cell) = -349.083

No. 10
# AcLa2Se3 GGA-PBE optimized geometry
data_AcLa2Se3
_chemical_formula_sum 'Ac2 La4 Se6'
_symmetry_space_group_name_H-M 'I m m m'
_symmetry_Int_Tables_number 71
_symmetry_space_group_name_Hall '-I 2 2'
_cell_length_a 4.367
_cell_length_b 6.183
_cell_length_c 13.086
_cell_angle_alpha 90.00
_cell_angle_beta 90.00
_cell_angle_gamma 90.00
loop_
_atom_site_label
_atom_site_type_symbol
_atom_site_fract_x
_atom_site_fract_y
_atom_site_fract_z
_atom_site_occupancy
Ac1 Ac 0.000 0.000 0.000 1
La1 La 0.000 0.000 0.335 1
Se1 Se 0.000 0.500 0.000 1
Se2 Se 0.000 0.500 0.328 1
# - raw formation energy (eV per atom) = -1.950
# - magnetic moment (μB/cell) = 0.0
# - calculated total energy (eV/cell) = -72.228

No. 11
# AcLaSe2 GGA-PBE optimized geometry
data_AcLaSe2
_chemical_formula_sum 'Ac2 La2 Se4'
_symmetry_space_group_name_H-M 'P 63/m m c'
_symmetry_Int_Tables_number 194
_symmetry_space_group_name_Hall '-P 6c 2c'
_cell_length_a 4.3466
_cell_length_b 4.3466
_cell_length_c 14.7091
_cell_angle_alpha 90.00
_cell_angle_beta 90.00
_cell_angle_gamma 120.00
loop_
_atom_site_label
_atom_site_type_symbol
_atom_site_fract_x
_atom_site_fract_y
_atom_site_fract_z
_atom_site_occupancy
Ac1 Ac 0.3333 0.6667 0.2500 1
La1 La 0.0000 0.0000 0.0000 1
Se1 Se 0.3333 0.6667 0.6184 1
# - raw formation energy (eV per atom) = -1.914
# - magnetic moment (μB/cell) = 0.0
# - relative energy among the computed polymorphs (meV/atom) = 0
# - calculated total energy (eV/cell) = -47.319

No. 12
# Ac2LaSe3 GGA-PBE optimized geometry
data_Ac2LaSe3
_chemical_formula_sum 'Ac32 La16 Se48'
_symmetry_space_group_name_H-M 'F d d d'
_symmetry_Int_Tables_number 70
_cell_length_a 8.894
_cell_length_b 12.500
_cell_length_c 26.286
_cell_angle_alpha 90.00
_cell_angle_beta 90.00
_cell_angle_gamma 90.00
loop_
_symmetry_equiv_pos_as_xyz
'x,y,z'
'-x,-y,-z'
'-x+1/4,-y+1/4,z'
'x+1/4,y+1/4,-z'
'x,-y+1/4,-z+1/4'
'-x,y+1/4,z+1/4'
'-x+1/4,y,-z+1/4'
'x+1/4,-y,z+1/4'
'x,y+1/2,z+1/2'
'-x,-y+1/2,-z+1/2'
'-x+1/4,-y+3/4,z+1/2'
'x+1/4,y+3/4,-z+1/2'
'x,-y+3/4,-z+3/4'
'-x,y+3/4,z+3/4'
'-x+1/4,y+1/2,-z+3/4'
'x+1/4,-y+1/2,z+3/4'
'x+1/2,y,z+1/2'
'-x+1/2,-y,-z+1/2'
'-x+3/4,-y+1/4,z+1/2'
'x+3/4,y+1/4,-z+1/2'
'x+1/2,-y+1/4,-z+3/4'
'-x+1/2,y+1/4,z+3/4'
'-x+3/4,y,-z+3/4'
'x+3/4,-y,z+3/4'
'x+1/2,y+1/2,z'
'-x+1/2,-y+1/2,-z'
'-x+3/4,-y+3/4,z'
'x+3/4,y+3/4,-z'
'x+1/2,-y+3/4,-z+1/4'
'-x+1/2,y+3/4,z+1/4'
'-x+3/4,y+1/2,-z+1/4'
'x+3/4,-y+1/2,z+1/4'
loop_
_atom_site_label
_atom_site_type_symbol
_atom_site_fract_x
_atom_site_fract_y
_atom_site_fract_z
_atom_site_occupancy
Ac1 Ac 0.125 0.125 0.042 1
Ac2 Ac 0.125 0.125 0.374 1
La1 La 0.125 0.125 0.542 1
Se1 Se 0.117 0.375 0.875 1
Se2 Se 0.121 0.372 0.710 1
# - raw formation energy (eV per atom) = -1.910
# - magnetic moment (μB/cell) = 0.0
# - calculated total energy (eV/cell) = -560.950

Which value of magnetic moment does entry 11 give?
0.0 μB/cell

What is the formula in the sixth record?
Ac2LaSe4

Look up the magnetic moment of the twelfth one.
0.0 μB/cell